Record 1
This record from Alexandria describes a relaxed structure of Mg3Ru5. The functional is GGA-PBE.

Cell and atoms, written as POSCAR:
```
Mg3Ru5
1.0
-6.295 -0.545 3.847
7.334 -0.213 0.939
-0.474 7.488 -1.369
Ru Mg
10 6
Direct
0.749 0.947 0.686 Ru
0.969 0.281 0.203 Ru
0.031 0.720 0.798 Ru
0.220 0.531 0.798 Ru
0.554 0.752 0.315 Ru
0.734 0.234 0.469 Ru
0.781 0.469 0.203 Ru
0.251 0.054 0.315 Ru
0.447 0.249 0.686 Ru
0.267 0.767 0.531 Ru
0.317 0.817 0.115 Mg
0.189 0.312 0.500 Mg
0.735 0.766 0.000 Mg
0.266 0.235 0.000 Mg
0.684 0.184 0.886 Mg
0.812 0.689 0.500 Mg
```

Calculated values
- M_tot (Bohr magnetons per cell) = 0.00
- formation energy (eV per formula unit) = 1.8
- E_tot (eV per atom) = -6.166
- symmetry = C2/m (12)
- E above lowest polymorph (meV per atom) = 16
- Fermi-level density of states (states/eV per atom) = 0.77

Record 2
This record from Alexandria describes a relaxed structure of Mg3Ru. The functional is GGA-PBE.

Cell and atoms, written as POSCAR:
```
Mg3Ru
1.0
5.750 0.000 0.000
0.000 4.676 0.000
0.000 0.000 5.215
Mg Ru
6 2
Direct
0.751 0.000 0.162 Mg
0.249 0.000 0.162 Mg
0.500 0.000 0.632 Mg
0.251 0.500 0.838 Mg
0.749 0.500 0.838 Mg
0.000 0.500 0.368 Mg
0.000 0.000 0.664 Ru
0.500 0.500 0.336 Ru
```

Calculated values
- M_tot (Bohr magnetons per cell) = 0.00
- formation energy (eV per formula unit) = -0.1
- E_tot (eV per atom) = -3.544
- symmetry = Pmmn (59)
- Fermi-level density of states (states/eV per atom) = 0.35

Record 3
This record from Alexandria describes a relaxed structure of MgRu. The functional is GGA-PBE.

Cell and atoms, written as POSCAR:
```
MgRu
1.0
4.385 0.000 0.000
-2.193 3.798 0.000
0.000 0.000 4.711
Ru Mg
2 2
Direct
0.000 0.000 0.500 Ru
0.000 0.000 0.000 Ru
0.333 0.667 0.250 Mg
0.667 0.333 0.750 Mg
```

Calculated values
- M_tot (Bohr magnetons per cell) = 0.00
- formation energy (eV per formula unit) = 1.0
- E_tot (eV per atom) = -4.943
- symmetry = P6_3/mmc (194)
- Fermi-level density of states (states/eV per atom) = 0.92